No. 1
UZn2 | PBE | relaxed

Values from the calculation:
Crystal system = monoclinic

```
UZn2
1.0
-3.9401 -0.4289 -11.5477
6.3195 -0.0898 -5.5578
0.0639 -4.5041 0.1455
U Zn
8 16
direct
0.0140 0.0073 0.0000
0.8050 0.2283 0.0000
0.3877 0.3205 0.0000
0.8855 0.8329 0.0000
0.8066 0.0409 0.5000
0.3895 0.1328 0.5000
0.1805 0.3538 0.5000
0.3088 0.5285 0.5000
0.6271 0.0466 0.0000
0.2296 0.1056 0.0000
0.9957 0.4062 0.0000
0.5412 0.5285 0.0000
0.1378 0.6034 0.0000
0.7272 0.6289 0.0000
0.3102 0.7682 0.0000
0.4911 0.8817 0.0000
0.9650 0.2554 0.5000
0.5672 0.3145 0.5000
0.7033 0.4793 0.5000
0.8842 0.5928 0.5000
0.4672 0.7323 0.5000
0.0566 0.7575 0.5000
0.6533 0.8324 0.5000
0.1987 0.9548 0.5000
```

---

No. 2
UZn | PBE | relaxed

Values from the calculation:
Crystal system = monoclinic

```
UZn
1.0
-6.5468 4.3888 -2.8328
3.2360 -1.0979 -4.9369
-2.3088 -3.8660 -0.6537
U Zn
6 6
direct
0.6863 0.1045 0.0000
0.3699 0.3625 0.0000
0.6911 0.6747 0.0000
0.5312 0.3810 0.5000
0.8522 0.6933 0.5000
0.5359 0.9504 0.5000
0.0262 0.0176 0.0000
0.0124 0.4797 0.0000
0.2791 0.8300 0.0000
0.1960 0.0379 0.5000
0.9433 0.2258 0.5000
0.2097 0.5761 0.5000
```

---

No. 3
UZn | PBE | relaxed

Values from the calculation:
Crystal system = cubic

```
UZn
1.0
0.0000 3.2227 3.2227
3.2227 0.0000 3.2227
3.2227 3.2227 0.0000
U Zn
1 1
direct
0.0000 0.0000 0.0000
0.2500 0.2500 0.2500
```

---

No. 4
UZn | PBE | relaxed

Values from the calculation:
Crystal system = monoclinic

```
UZn
1.0
7.6752 -1.6350 0.0000
0.0795 6.8167 0.0000
0.0000 0.0000 4.2913
U Zn
6 6
direct
0.3549 0.3199 0.0000
0.9218 0.5373 0.0000
0.2291 0.7310 0.0000
0.9934 0.3246 0.5000
0.3005 0.5185 0.5000
0.8672 0.7358 0.5000
0.0046 0.0298 0.0000
0.6940 0.1105 0.0000
0.5973 0.7161 0.0000
0.2175 0.0255 0.5000
0.6249 0.3394 0.5000
0.5281 0.9450 0.5000
```

---

Number 1: formation energy 0.23 eV per formula unit. Number 2: formation energy 0.11 eV per formula unit. Number 3: formation energy 3.42 eV per formula unit. Number 4: formation energy 0.22 eV per formula unit.